Record 1
Material: Dy4ZnGa12
Method: DFT, PBE
State: optimized geometry

a = 8.688 Å, b = 8.688 Å, c = 8.688 Å
α = 90.00°, β = 90.00°, γ = 90.00°
Space group Im-3m (No. 229)
Asymmetric unit:
Dy (0.250, 0.250, 0.250) (multiplicity 8)
Zn (0.000, 0.000, 0.000) (multiplicity 2)
Ga (0.000, 0.000, 0.302) (multiplicity 12)
Ga (0.000, 0.250, 0.500) (multiplicity 12)

Values from the calculation:
Volume = 656 Å³/cell
Formation energy from the elements = -489 meV per atom

=====

Record 2
Material: SrCaY2
Method: DFT, PBE
State: optimized geometry

a = 3.7566 Å, b = 3.7566 Å, c = 37.6165 Å
α = 90.00°, β = 90.00°, γ = 120.00°
Space group R-3m (No. 166, hexagonal axes)
Asymmetric unit:
Sr (0.0000, 0.0000, 0.0000) (multiplicity 3)
Ca (0.0000, 0.0000, 0.5000) (multiplicity 3)
Y (0.0000, 0.0000, 0.2474) (multiplicity 6)

Values from the calculation:
Volume = 460 Å³/cell
Formation energy from the elements = 198 meV per atom

=====

Please write out number 1 again, unchanged.
Material: Dy4ZnGa12
Method: DFT, PBE
State: optimized geometry

a = 8.688 Å, b = 8.688 Å, c = 8.688 Å
α = 90.00°, β = 90.00°, γ = 90.00°
Space group Im-3m (No. 229)
Asymmetric unit:
Dy (0.250, 0.250, 0.250) (multiplicity 8)
Zn (0.000, 0.000, 0.000) (multiplicity 2)
Ga (0.000, 0.000, 0.302) (multiplicity 12)
Ga (0.000, 0.250, 0.500) (multiplicity 12)

Values from the calculation:
Volume = 656 Å³/cell
Formation energy from the elements = -489 meV per atom